Record 1
Computed, not measured: an optimized crystal structure of Mg2InPb at the PBE-GGA level of DFT.

```
Mg2InPb
1.0
3.479 0.000 0.000
0.000 4.148 0.000
-0.160 0.000 6.920
Mg In Pb
2 1 1
direct
0.001 0.000 0.262
0.999 0.000 0.738
0.500 0.500 0.500
0.500 0.500 0.000
```

Results
N(E_F) = 1.010 states/eV per cell
Formation enthalpy at 0 K = -0.06 eV per atom
Magnetization = 0.0000 μB/atom

=====

Record 2
Computed, not measured: an optimized crystal structure of MgInPb at the PBE-GGA level of DFT.

```
MgInPb
1.0
3.471 0.000 0.000
0.000 4.539 0.000
-0.007 0.000 10.138
Mg In Pb
2 2 2
direct
0.248 0.000 0.263
0.752 0.500 0.737
0.250 0.002 0.575
0.750 0.502 0.425
0.250 0.001 0.894
0.750 0.501 0.106
```

Results
N(E_F) = 2.804 states/eV per cell
Formation enthalpy at 0 K = -0.03 eV per atom
Magnetization = 0.0000 μB/atom

=====

Record 3
Computed, not measured: an optimized crystal structure of MgIn2Pb8 at the PBE-GGA level of DFT.

```
MgIn2Pb8
1.0
4.872 0.000 0.000
0.000 4.872 0.000
0.000 0.000 14.216
Mg In Pb
1 2 8
direct
0.000 0.000 0.000
0.000 0.000 0.324
0.000 0.000 0.676
0.000 0.500 0.139
0.000 0.500 0.500
0.000 0.500 0.861
0.500 0.000 0.139
0.500 0.000 0.500
0.500 0.000 0.861
0.500 0.500 0.313
0.500 0.500 0.687
```

Results
N(E_F) = 4.767 states/eV per cell
Formation enthalpy at 0 K = 0.03 eV per atom
Magnetization = 0.0000 μB/atom

=====

Record 4
Computed, not measured: an optimized crystal structure of Mg10In3Pb3 at the PBE-GGA level of DFT.

```
Mg10In3Pb3
1.0
8.845 0.000 0.000
-4.422 7.660 0.000
0.000 0.000 5.859
Mg In Pb
10 3 3
direct
0.000 0.223 0.000
0.000 0.775 0.500
0.223 0.000 0.000
0.225 0.225 0.500
0.333 0.667 0.254
0.333 0.667 0.746
0.667 0.333 0.254
0.667 0.333 0.746
0.775 0.000 0.500
0.777 0.777 0.000
0.000 0.396 0.500
0.396 0.000 0.500
0.604 0.604 0.500
0.000 0.601 0.000
0.399 0.399 0.000
0.601 0.000 0.000
```

Results
N(E_F) = 7.679 states/eV per cell
Formation enthalpy at 0 K = -0.03 eV per atom
Magnetization = 0.0000 μB/atom